No. 1
Computed, not measured: a relaxed CuTePb4 crystal at the PBE level of DFT.

Cell lengths 6.4552, 6.4552, 6.4552 Å; angles 60.00, 60.00, 60.00 degrees
Closest atoms and distances in Å follow each position.
Sites, in units of the cell vectors:
Cu (0.0000, 0.0000, 0.0000)  12 Pb 3.78, 4 Te 3.95
Te (0.2500, 0.2500, 0.2500)  12 Pb 3.79, 4 Cu 3.95
Pb (0.1229, 0.6257, 0.6257)  6 Pb 3.21-3.25
Pb (0.6257, 0.1229, 0.6257)  6 Pb 3.21-3.25
Pb (0.6257, 0.6257, 0.1229)  6 Pb 3.21-3.25
Pb (0.6257, 0.6257, 0.6257)  6 Pb 3.21-3.25

Computed properties:
For the uncorrected formation energy, the calculation gives 464 meV per atom. The density of states at the Fermi level is 5.3 states/eV/cell.

=====

No. 2
Computed, not measured: a relaxed Sm2Dy2Y5 crystal at the PBE level of DFT.

Cell lengths 6.1836, 6.2027, 7.9990 Å; angles 82.62, 75.03, 80.37 degrees
Closest atoms and distances in Å follow each position.
Sites, in units of the cell vectors:
Sm (0.0547, 0.1113, 0.2773)  8 Y 3.56-3.58, 3 Dy 3.57-3.58, 1 Sm 3.59
Sm (0.9453, 0.8887, 0.7227)  8 Y 3.56-3.58, 3 Dy 3.57-3.58, 1 Sm 3.59
Dy (0.1661, 0.3337, 0.8344)  1 Dy 3.56, 8 Y 3.56-3.58, 3 Sm 3.57-3.58
Dy (0.8339, 0.6663, 0.1656)  1 Dy 3.56, 8 Y 3.56-3.58, 3 Sm 3.57-3.58
Y (0.2772, 0.5558, 0.3892)  6 Y 3.57-3.58, 3 Sm 3.57-3.58, 3 Dy 3.57-3.58
Y (0.3875, 0.7778, 0.9447)  3 Sm 3.56-3.58, 4 Dy 3.56-3.58, 5 Y 3.58-3.59
Y (0.5000, 0.0000, 0.5000)  4 Sm 3.57-3.58, 6 Y 3.58, 2 Dy 3.58
Y (0.6125, 0.2222, 0.0553)  3 Sm 3.56-3.58, 4 Dy 3.56-3.58, 5 Y 3.58-3.59
Y (0.7228, 0.4442, 0.6108)  6 Y 3.57-3.58, 3 Sm 3.57-3.58, 3 Dy 3.57-3.58

Computed properties:
For the offset from the most stable computed form, the calculation gives 0 meV per atom. For the formation energy, the calculation gives 0.020 eV per atom. The density of states at the Fermi level is 13.3 states/eV/cell.

=====

No. 3
Computed, not measured: a relaxed Pu4PaSb5 crystal at the PBE level of DFT.

Cell lengths 11.6959, 11.6959, 11.6959 Å; angles 158.28, 149.04, 38.14 degrees
Closest atoms and distances in Å follow each position.
Sites, in units of the cell vectors:
Pu (0.1000, 0.1000, 0.0000)  6 Sb 3.12-3.13
Pu (0.3005, 0.3005, 0.0000)  6 Sb 3.12-3.15
Pu (0.6995, 0.6995, 0.0000)  6 Sb 3.12-3.15
Pu (0.9000, 0.9000, 0.0000)  6 Sb 3.12-3.13
Pa (0.5000, 0.5000, 0.0000)  6 Sb 3.09-3.12
Sb (0.0000, 0.5000, 0.5000)  2 Pa 3.12, 4 Pu 3.12
Sb (0.2004, 0.7004, 0.5000)  6 Pu 3.12-3.13
Sb (0.4023, 0.9023, 0.5000)  2 Pa 3.09, 4 Pu 3.12-3.15
Sb (0.5977, 0.0977, 0.5000)  2 Pa 3.09, 4 Pu 3.12-3.15
Sb (0.7996, 0.2996, 0.5000)  6 Pu 3.12-3.13

Computed properties:
For the uncorrected formation energy, the calculation gives -574 meV per atom. The density of states at the Fermi level is 58.6 states/eV/cell.

=====

No. 4
Computed, not measured: a relaxed Sr2InTeSe5 crystal at the PBE level of DFT.

Cell lengths 9.4846, 9.4846, 12.7513 Å; angles 90.00, 90.00, 152.73 degrees
Closest atoms and distances in Å follow each position.
Sites, in units of the cell vectors:
Sr (0.1055, 0.8945, 0.5000)  8 Se 3.19-3.34
Sr (0.1311, 0.8689, 0.1249)  7 Se 3.17-3.47
Sr (0.8689, 0.1311, 0.6249)  7 Se 3.17-3.47
Sr (0.8945, 0.1055, 0.0000)  8 Se 3.19-3.34
In (0.4330, 0.5670, 0.2535)  4 Se 2.60-2.70
In (0.5670, 0.4330, 0.7535)  4 Se 2.60-2.70
Te (0.2208, 0.7792, 0.8473)  3 Se 2.62-2.70
Te (0.7792, 0.2208, 0.3473)  3 Se 2.62-2.70
Se (0.0508, 0.9492, 0.8692)  2 In 2.70
Se (0.2766, 0.7234, 0.4654)  2 Te 2.70
Se (0.3099, 0.6901, 0.1485)  1 In 2.64
Se (0.3610, 0.6390, 0.8119)  1 Te 2.62
Se (0.4879, 0.5121, 0.5843)  1 In 2.60
Se (0.5121, 0.4879, 0.0843)  1 In 2.60
Se (0.6390, 0.3610, 0.3119)  1 Te 2.62
Se (0.6901, 0.3099, 0.6485)  1 In 2.64
Se (0.7234, 0.2766, 0.9654)  2 Te 2.70
Se (0.9492, 0.0508, 0.3692)  2 In 2.70

Computed properties:
For the uncorrected formation energy, the calculation gives -1015 meV per atom. The density of states at the Fermi level is 1.9 states/eV/cell.

=====

No. 5
Computed, not measured: a relaxed AcPt4Au2 crystal at the PBE level of DFT.

Cell lengths 8.9233, 7.0385, 5.4889 Å; angles 90.00, 127.71, 90.00 degrees
Closest atoms and distances in Å follow each position.
Sites, in units of the cell vectors:
Ac (0.0000, 0.0000, 0.0000)  12 Pt 3.06-3.36
Ac (0.5000, 0.5000, 0.0000)  12 Pt 3.06-3.36
Pt (0.1931, 0.1932, 0.6930)  4 Pt 2.72-2.97, 4 Au 2.90-2.91
Pt (0.1931, 0.8068, 0.6930)  4 Pt 2.72-2.97, 4 Au 2.90-2.91
Pt (0.3069, 0.3068, 0.3070)  4 Pt 2.72-2.97, 4 Au 2.90-2.91
Pt (0.3069, 0.6932, 0.3070)  4 Pt 2.72-2.97, 4 Au 2.90-2.91
Pt (0.6931, 0.3068, 0.6930)  4 Pt 2.72-2.97, 4 Au 2.90-2.91
Pt (0.6931, 0.6932, 0.6930)  4 Pt 2.72-2.97, 4 Au 2.90-2.91
Pt (0.8069, 0.1932, 0.3070)  4 Pt 2.72-2.97, 4 Au 2.90-2.91
Pt (0.8069, 0.8068, 0.3070)  4 Pt 2.72-2.97, 4 Au 2.90-2.91
Au (0.0001, 0.5000, 0.2500)  2 Au 2.74-2.75, 8 Pt 2.90-2.91
Au (0.9999, 0.5000, 0.7500)  2 Au 2.74-2.75, 8 Pt 2.90-2.91
Au (0.5001, 0.0000, 0.2500)  2 Au 2.74-2.75, 8 Pt 2.90-2.91
Au (0.4999, 0.0000, 0.7500)  2 Au 2.74-2.75, 8 Pt 2.90-2.91

Computed properties:
For the offset from the most stable computed form, the calculation gives 0 meV per atom. For the formation energy, the calculation gives -0.440 eV per atom. The density of states at the Fermi level is 13.1 states/eV/cell.

=====

No. 6
Computed, not measured: a relaxed TlAgS crystal at the PBE level of DFT.

Cell lengths 6.3996, 8.3917, 6.0388 Å; angles 90.00, 90.00, 90.00 degrees
Closest atoms and distances in Å follow each position.
Sites, in units of the cell vectors:
Tl (0.0000, 0.1382, 0.2500)  5 S 3.24-3.49, 2 Ag 3.39
Tl (0.0000, 0.8618, 0.7500)  5 S 3.24-3.49, 2 Ag 3.39
Tl (0.5000, 0.3618, 0.7500)  5 S 3.24-3.49, 2 Ag 3.39
Tl (0.5000, 0.6382, 0.2500)  5 S 3.24-3.49, 2 Ag 3.39
Ag (0.0000, 0.5000, 0.0000)  2 S 2.40
Ag (0.0000, 0.5000, 0.5000)  2 S 2.40
Ag (0.5000, 0.0000, 0.0000)  2 S 2.40
Ag (0.5000, 0.0000, 0.5000)  2 S 2.40
S (0.0000, 0.2781, 0.7500)  2 Ag 2.40
S (0.0000, 0.7219, 0.2500)  2 Ag 2.40
S (0.5000, 0.2219, 0.2500)  2 Ag 2.40
S (0.5000, 0.7781, 0.7500)  2 Ag 2.40

Computed properties:
For the uncorrected formation energy, the calculation gives -180 meV per atom.

=====

No. 7
Computed, not measured: a relaxed Dy2Y2Ho2Er crystal at the PBE level of DFT.

Cell lengths 8.7377, 8.7377, 8.7377 Å; angles 37.67, 37.67, 37.67 degrees
Closest atoms and distances in Å follow each position.
Sites, in units of the cell vectors:
Dy (0.2134, 0.2134, 0.2134)  3 Er 3.45, 4 Ho 3.46-3.47, 1 Y 3.51
Dy (0.7866, 0.7866, 0.7866)  3 Er 3.45, 4 Ho 3.46-3.47, 1 Y 3.51
Y (0.3579, 0.3579, 0.3579)  3 Ho 3.45, 1 Er 3.46, 3 Y 3.47, 1 Dy 3.51
Y (0.6421, 0.6421, 0.6421)  3 Ho 3.45, 1 Er 3.46, 3 Y 3.47, 1 Dy 3.51
Ho (0.0712, 0.0712, 0.0712)  3 Y 3.45, 4 Dy 3.46-3.47, 1 Ho 3.46
Ho (0.9288, 0.9288, 0.9288)  3 Y 3.45, 4 Dy 3.46-3.47, 1 Ho 3.46
Er (0.5000, 0.5000, 0.5000)  6 Dy 3.45, 2 Y 3.46

Computed properties:
For the formation energy, the calculation gives 0.139 eV per atom. The density of states at the Fermi level is 17.7 states/eV/cell.

=====

No. 8
Computed, not measured: a relaxed Mn2OsPt2 crystal at the PBE level of DFT.

Cell lengths 3.6990, 3.6990, 10.7739 Å; angles 90.00, 90.00, 90.00 degrees
Closest atoms and distances in Å follow each position.
Sites, in units of the cell vectors:
Mn (0.0000, 0.0000, 0.0898)  1 Mn 1.94
Mn (0.0000, 0.0000, 0.9102)  1 Mn 1.94
Mn (0.5000, 0.5000, 0.4102)  1 Mn 1.94
Mn (0.5000, 0.5000, 0.5898)  1 Mn 1.94
Os (0.0000, 0.0000, 0.5000)  8 Mn 2.79
Os (0.5000, 0.5000, 0.0000)  8 Mn 2.79
Pt (0.0000, 0.5000, 0.2500)  4 Mn 2.53, 4 Pt 2.62
Pt (0.0000, 0.5000, 0.7500)  4 Mn 2.53, 4 Pt 2.62
Pt (0.5000, 0.0000, 0.2500)  4 Mn 2.53, 4 Pt 2.62
Pt (0.5000, 0.0000, 0.7500)  4 Mn 2.53, 4 Pt 2.62

Computed properties:
For the offset from the most stable computed form, the calculation gives 361 meV per atom. For the formation energy, the calculation gives 0.530 eV per atom. The density of states at the Fermi level is 12.2 states/eV/cell.

=====

No. 9
Computed, not measured: a relaxed ScSeN2Cl crystal at the PBE level of DFT.

Cell lengths 4.2492, 4.2492, 5.6673 Å; angles 90.00, 90.00, 90.00 degrees
Closest atoms and distances in Å follow each position.
Sites, in units of the cell vectors:
Sc (0.0000, 0.0000, 0.0000)  4 N 2.12
Se (0.0000, 0.0000, 0.5000)  2 Sc 2.83, 4 Cl 3.00
N (0.0000, 0.5000, 0.0000)  2 Sc 2.12
N (0.5000, 0.0000, 0.0000)  2 Sc 2.12
Cl (0.5000, 0.5000, 0.5000)  4 Se 3.00

Computed properties:
For the offset from the most stable computed form, the calculation gives 0 meV per atom. For the uncorrected formation energy, the calculation gives 772 meV per atom. The density of states at the Fermi level is 3.2 states/eV/cell.

=====

No. 10
Computed, not measured: a relaxed DySi2Tc2 crystal at the PBE level of DFT.

Cell lengths 5.8373, 5.8447, 5.8248 Å; angles 90.00, 119.93, 90.00 degrees
Closest atoms and distances in Å follow each position.
Sites, in units of the cell vectors:
Dy (0.0000, 0.0000, 0.0000)  8 Si 3.17, 8 Tc 3.26-3.27
Dy (0.5000, 0.5000, 0.0000)  8 Si 3.17, 8 Tc 3.26-3.27
Si (0.1224, 0.5000, 0.2456)  4 Tc 2.43, 1 Si 2.48
Si (0.3776, 0.0000, 0.7544)  4 Tc 2.43, 1 Si 2.48
Si (0.6224, 0.0000, 0.2456)  4 Tc 2.43, 1 Si 2.48
Si (0.8776, 0.5000, 0.7544)  4 Tc 2.43, 1 Si 2.48
Tc (0.0000, 0.2492, 0.5000)  4 Si 2.43
Tc (0.0000, 0.7508, 0.5000)  4 Si 2.43
Tc (0.5000, 0.2508, 0.5000)  4 Si 2.43
Tc (0.5000, 0.7492, 0.5000)  4 Si 2.43

Computed properties:
For the offset from the most stable computed form, the calculation gives 0 meV per atom. For the uncorrected formation energy, the calculation gives -626 meV per atom. The density of states at the Fermi level is 8.9 states/eV/cell.